# 1
Density functional theory data (PBE-GGA) for a relaxed structure of SrTlMo2.

```
SrTlMo2
1.0
4.205 0.000 0.000
0.000 4.205 0.000
0.000 0.000 4.913
Mo Sr Tl
2 1 1
direct
0.000 0.000 0.000 Mo
0.500 0.500 0.000 Mo
0.500 0.000 0.500 Sr
0.000 0.500 0.500 Tl
```

SG: P4/mmm, No. 123
Uncorrected energy in eV per atom: -5.365
D(E_F) in states/eV/atom: 1.10

***

# 2
Density functional theory data (PBE-GGA) for a relaxed structure of Cd6NiAu12.

```
Cd6NiAu12
1.0
-4.485 -1.258 -5.412
1.325 -6.964 0.859
-5.308 -0.158 4.774
Cd Ni Au
6 1 12
direct
0.717 0.886 0.262 Cd
0.738 0.283 0.114 Cd
0.114 0.738 0.283 Cd
0.283 0.114 0.738 Cd
0.262 0.717 0.886 Cd
0.886 0.262 0.717 Cd
0.000 0.000 0.000 Ni
0.794 0.538 0.451 Au
0.451 0.794 0.538 Au
0.538 0.451 0.794 Au
0.206 0.462 0.549 Au
0.549 0.206 0.462 Au
0.462 0.549 0.206 Au
0.043 0.139 0.360 Au
0.861 0.640 0.957 Au
0.640 0.957 0.861 Au
0.957 0.861 0.640 Au
0.139 0.360 0.043 Au
0.360 0.043 0.139 Au
```

SG: R-3, No. 148
Uncorrected energy in eV per atom: -2.762
D(E_F) in states/eV/atom: 0.39

***

# 3
Density functional theory data (PBE-GGA) for a relaxed structure of CeCuPt2.

```
CeCuPt2
1.0
-1.946 1.634 3.528
-2.517 -2.544 2.469
2.227 -1.467 4.586
Cu Ce Pt
1 1 2
direct
0.500 0.500 0.500 Cu
0.000 0.000 0.000 Ce
0.783 0.783 0.652 Pt
0.217 0.217 0.348 Pt
```

SG: R-3m, No. 166
Uncorrected energy in eV per atom: -6.255
D(E_F) in states/eV/atom: 0.88

***

# 4
Density functional theory data (PBE-GGA) for a relaxed structure of Cs2YAg2Cl6.

```
Cs2YAg2Cl6
1.0
7.748 0.000 0.000
-3.874 6.683 -0.463
0.000 -4.221 7.807
Cs Y Ag Cl
2 1 2 6
direct
0.710 0.419 0.180 Cs
0.290 0.581 0.820 Cs
0.500 0.000 0.500 Y
0.952 0.904 0.821 Ag
0.048 0.096 0.179 Ag
0.722 0.444 0.582 Cl
0.210 0.888 0.247 Cl
0.322 0.112 0.753 Cl
0.790 0.112 0.753 Cl
0.678 0.888 0.247 Cl
0.278 0.556 0.418 Cl
```

SG: C2/m, No. 12
Formation energy without anion corrections in eV/atom: -1.51
D(E_F) in states/eV/atom: 0.15

***

# 5
Density functional theory data (PBE-GGA) for a relaxed structure of KC2I.

```
KC2I
1.0
0.000 3.321 3.321
3.321 0.000 3.321
3.321 3.321 0.000
I K C
1 1 2
direct
0.500 0.500 0.500 I
0.000 0.000 0.000 K
0.250 0.250 0.250 C
0.750 0.750 0.750 C
```

SG: Fm-3m, No. 225
Formation energy without anion corrections in eV/atom: 2.68
D(E_F) in states/eV/atom: 1.11

***

# 6
Density functional theory data (PBE-GGA) for a relaxed structure of RbCuGePt2.

```
RbCuGePt2
1.0
-1.445 -4.365 2.312
1.885 -2.923 -4.339
4.621 -0.344 2.239
Ge Cu Rb Pt
1 1 1 2
direct
0.000 0.500 0.000 Ge
0.500 0.500 0.500 Cu
0.000 0.000 0.000 Rb
0.000 0.000 0.500 Pt
0.500 0.000 0.000 Pt
```

SG: P4/mmm, No. 123
Uncorrected energy in eV per atom: -2.141
D(E_F) in states/eV/atom: 0.74

***

# 7
Density functional theory data (PBE-GGA) for a relaxed structure of SrHfRuO6.

```
SrHfRuO6
1.0
5.012 0.000 0.000
0.000 5.012 0.000
0.000 0.000 9.829
Sr Hf Ru O
2 2 2 12
direct
0.500 0.500 0.504 Sr
0.000 0.000 0.004 Sr
0.500 0.500 0.165 Hf
0.000 0.000 0.665 Hf
0.500 0.500 0.832 Ru
0.000 0.000 0.332 Ru
0.168 0.832 0.490 O
0.832 0.168 0.490 O
0.332 0.332 0.990 O
0.668 0.668 0.990 O
0.213 0.787 0.202 O
0.787 0.213 0.202 O
0.287 0.287 0.702 O
0.713 0.713 0.702 O
0.769 0.231 0.807 O
0.231 0.769 0.807 O
0.731 0.731 0.307 O
0.269 0.269 0.307 O
```

SG: P4_2nm, No. 102
Formation energy without anion corrections in eV/atom: -2.07
D(E_F) in states/eV/atom: 0.40

***

# 8
Density functional theory data (PBE-GGA) for a relaxed structure of Mg3NbFe.

```
Mg3NbFe
1.0
-2.012 1.402 3.912
-2.931 -3.561 -0.232
2.947 -2.584 2.441
Mg Nb Fe
3 1 1
direct
0.000 0.500 0.000 Mg
0.000 0.000 0.500 Mg
0.500 0.000 0.000 Mg
0.500 0.500 0.500 Nb
0.000 0.000 0.000 Fe
```

SG: Pm-3m, No. 221
Uncorrected energy in eV per atom: -3.664
D(E_F) in states/eV/atom: 0.95

***

# 9
Density functional theory data (PBE-GGA) for a relaxed structure of SiAsRh2.

```
SiAsRh2
1.0
2.967 0.000 0.000
0.000 5.139 0.007
0.000 3.442 3.815
As Rh Si
1 2 1
direct
0.000 0.000 0.500 As
0.000 0.000 0.000 Rh
0.500 0.500 0.000 Rh
0.500 0.500 0.500 Si
```

SG: P2/m, No. 10
Formation energy without anion corrections in eV/atom: -0.37
D(E_F) in states/eV/atom: 0.60

***

# 10
Density functional theory data (PBE-GGA) for a relaxed structure of Pa3RuS2O6.

```
Pa3RuS2O6
1.0
-4.908 -2.839 -1.118
3.959 -5.436 -3.578
-2.713 -0.835 6.376
Pa Ru S O
3 1 2 6
direct
0.000 0.500 0.000 Pa
0.500 0.500 0.500 Pa
0.500 0.000 0.500 Pa
0.500 0.000 0.000 Ru
0.206 0.689 0.378 S
0.794 0.311 0.622 S
0.758 0.392 0.180 O
0.242 0.608 0.820 O
0.600 0.819 0.638 O
0.400 0.181 0.362 O
0.242 0.212 0.820 O
0.758 0.788 0.180 O
```

SG: C2/m, No. 12
Formation energy without anion corrections in eV/atom: -2.41

***

# 11
Density functional theory data (PBE-GGA) for a relaxed structure of SrZn2Sb.

```
SrZn2Sb
1.0
4.349 0.000 0.000
0.000 4.392 -0.631
0.000 0.777 5.405
Sb Sr Zn
1 1 2
direct
0.000 0.625 0.358 Sb
0.500 0.625 0.828 Sr
0.000 0.125 0.028 Zn
0.500 0.126 0.286 Zn
```

SG: Pm, No. 6
Formation energy without anion corrections in eV/atom: -0.27
D(E_F) in states/eV/atom: 0.35

***

# 12
Density functional theory data (PBE-GGA) for a relaxed structure of Ba3Y2NpN6.

```
Ba3Y2NpN6
1.0
-5.639 -2.562 0.059
3.183 0.547 5.285
-1.798 6.429 -0.790
Ba Y Np N
3 2 1 6
direct
0.171 0.829 0.500 Ba
0.829 0.171 0.500 Ba
0.500 0.500 0.500 Ba
0.334 0.666 0.000 Y
0.666 0.334 0.000 Y
0.000 0.000 0.000 Np
0.939 0.641 0.818 N
0.761 0.761 0.193 N
0.061 0.359 0.182 N
0.641 0.939 0.818 N
0.239 0.239 0.807 N
0.359 0.061 0.182 N
```

SG: C2/m, No. 12
Formation energy without anion corrections in eV/atom: -1.02
D(E_F) in states/eV/atom: 0.39

***

# 13
Density functional theory data (PBE-GGA) for a relaxed structure of ReIrPdPb2.

```
ReIrPdPb2
1.0
-3.789 -0.196 -3.654
1.760 -4.174 -1.602
-3.109 -2.601 3.363
Pb Re Ir Pd
2 1 1 1
direct
0.000 0.000 0.500 Pb
0.500 0.000 0.000 Pb
0.000 0.500 0.000 Re
0.000 0.000 0.000 Ir
0.500 0.500 0.500 Pd
```

SG: P4/mmm, No. 123
Uncorrected energy in eV per atom: -5.491
D(E_F) in states/eV/atom: 1.02

***

# 14
Density functional theory data (PBE-GGA) for a relaxed structure of Pm6NdHo2Sc.

```
Pm6NdHo2Sc
1.0
-7.168 5.075 -3.265
-2.941 -7.476 -3.891
-2.345 1.343 8.507
Pm Nd Ho Sc
12 2 4 2
direct
0.053 0.123 0.767 Pm
0.447 0.233 0.877 Pm
0.947 0.877 0.233 Pm
0.553 0.767 0.123 Pm
0.306 0.009 0.444 Pm
0.194 0.556 0.991 Pm
0.694 0.991 0.556 Pm
0.806 0.444 0.009 Pm
0.111 0.711 0.483 Pm
0.389 0.517 0.289 Pm
0.889 0.289 0.517 Pm
0.611 0.483 0.711 Pm
0.250 0.972 0.028 Nd
0.750 0.028 0.972 Nd
0.449 0.792 0.692 Ho
0.051 0.308 0.208 Ho
0.551 0.208 0.308 Ho
0.949 0.692 0.792 Ho
0.250 0.421 0.579 Sc
0.750 0.579 0.421 Sc
```

SG: C2/c, No. 15
Uncorrected energy in eV per atom: -4.749
D(E_F) in states/eV/atom: 1.45

***

# 15
Density functional theory data (PBE-GGA) for a relaxed structure of Mg3CuSe.

```
Mg3CuSe
1.0
4.987 0.000 0.000
0.000 4.987 0.000
0.000 0.000 4.987
Mg Cu Se
3 1 1
direct
0.000 0.500 0.000 Mg
0.000 0.000 0.500 Mg
0.500 0.000 0.000 Mg
0.500 0.500 0.500 Cu
0.000 0.000 0.000 Se
```

SG: Pm-3m, No. 221
Formation energy without anion corrections in eV/atom: 0.23
D(E_F) in states/eV/atom: 0.54

***

# 16
Density functional theory data (PBE-GGA) for a relaxed structure of Li2HfTcB.

```
Li2HfTcB
1.0
-3.726 -2.008 0.606
0.909 -0.509 3.906
-1.863 3.737 0.920
B Hf Tc Li
1 1 1 2
direct
0.000 0.500 0.000 B
0.500 0.500 0.500 Hf
0.000 0.000 0.000 Tc
0.000 0.000 0.500 Li
0.500 0.000 0.000 Li
```

SG: P4/mmm, No. 123
Uncorrected energy in eV per atom: -5.347
D(E_F) in states/eV/atom: 0.43

***

# 17
Density functional theory data (PBE-GGA) for a relaxed structure of Tb2PmAgC.

```
Tb2PmAgC
1.0
-3.243 2.288 -2.801
0.233 -3.622 -3.228
-3.878 -2.461 2.481
Tb Pm Ag C
2 1 1 1
direct
0.000 0.500 0.991 Tb
0.500 0.000 0.991 Tb
0.000 0.000 0.487 Pm
0.500 0.500 0.510 Ag
0.000 0.000 0.020 C
```

SG: P4mm, No. 99
Uncorrected energy in eV per atom: -5.364
D(E_F) in states/eV/atom: 0.92

***

# 18
Density functional theory data (PBE-GGA) for a relaxed structure of LaCdRe2.

```
LaCdRe2
1.0
5.452 0.005 0.000
2.192 4.993 0.000
-3.822 -2.499 2.980
Re Cd La
2 1 1
direct
0.000 0.000 0.000 Re
0.500 0.500 0.000 Re
0.250 0.750 0.500 Cd
0.750 0.250 0.500 La
```

SG: I4/mmm, No. 139
Uncorrected energy in eV per atom: -6.741
D(E_F) in states/eV/atom: 1.34

***

# 19
Density functional theory data (PBE-GGA) for a relaxed structure of TaBe2Tc.

```
TaBe2Tc
1.0
3.032 0.000 0.000
0.000 3.083 0.015
0.000 3.059 5.292
Be Tc Ta
2 1 1
direct
0.000 0.042 0.958 Be
0.000 0.458 0.542 Be
0.500 0.750 0.750 Tc
0.500 0.250 0.250 Ta
```

SG: Pmmm, No. 47
Uncorrected energy in eV per atom: -7.519
D(E_F) in states/eV/atom: 0.44

***

# 20
Density functional theory data (PBE-GGA) for a relaxed structure of H3Os.

```
H3Os
1.0
7.137 0.000 -0.429
0.000 2.686 0.000
-6.562 0.000 8.028
H Os
12 4
direct
0.755 0.000 0.243 H
0.245 0.000 0.757 H
0.755 0.500 0.743 H
0.245 0.500 0.257 H
0.784 0.000 0.026 H
0.216 0.000 0.974 H
0.784 0.500 0.526 H
0.216 0.500 0.474 H
0.488 0.000 0.588 H
0.512 0.000 0.412 H
0.488 0.500 0.088 H
0.512 0.500 0.912 H
0.783 0.000 0.642 Os
0.217 0.000 0.358 Os
0.783 0.500 0.142 Os
0.217 0.500 0.858 Os
```

SG: C2/m, No. 12
Uncorrected energy in eV per atom: -5.098
D(E_F) in states/eV/atom: 0.15